Below is a relaxed structure of LiLaMg6O8, with properties calculated at the PBE-GGA level.

## Properties
Symmetry: P4/mmm (123)
Relative energy among the computed polymorphs in meV per atom: 0

Cell lengths 4.453, 4.453, 8.975 Å; angles 90.00, 90.00, 90.00 degrees
Fractional coordinates of all 16 atoms:
Li (0.000, 0.000, 0.000)
La (0.500, 0.500, 0.000)
Mg (0.000, 0.000, 0.500)
Mg (0.000, 0.500, 0.268)
Mg (0.000, 0.500, 0.732)
Mg (0.500, 0.000, 0.268)
Mg (0.500, 0.000, 0.732)
Mg (0.500, 0.500, 0.500)
O (0.000, 0.000, 0.266)
O (0.000, 0.000, 0.734)
O (0.000, 0.500, 0.000)
O (0.000, 0.500, 0.500)
O (0.500, 0.000, 0.000)
O (0.500, 0.000, 0.500)
O (0.500, 0.500, 0.273)
O (0.500, 0.500, 0.727)

Below is a relaxed structure of Nd2InRh, with properties calculated at the PBE-GGA level.

## Properties
Calculated formation energy in eV per atom: -0.5559
Symmetry: Pmma (51)
Relative energy among the computed polymorphs in meV per atom: 0

Cell lengths 7.361, 3.688, 7.575 Å; angles 90.00, 90.00, 90.00 degrees
Fractional coordinates of all 8 atoms:
Nd (0.008, 0.000, 0.221)
Nd (0.492, 0.000, 0.221)
Nd (0.508, 0.000, 0.779)
Nd (0.992, 0.000, 0.779)
In (0.250, 0.500, 0.517)
In (0.750, 0.500, 0.483)
Rh (0.250, 0.500, 0.957)
Rh (0.750, 0.500, 0.043)

Below is a relaxed structure of Na2H5Pd, with properties calculated at the PBE-GGA level.

## Properties
Symmetry: P4/mmm (123)
Relative energy among the computed polymorphs in meV per atom: 0

Cell lengths 5.076, 5.076, 3.617 Å; angles 90.00, 90.00, 90.00 degrees
Fractional coordinates of all 8 atoms:
Na (0.000, 0.500, 0.000)
Na (0.500, 0.000, 0.000)
H (0.000, 0.000, 0.000)
H (0.231, 0.231, 0.500)
H (0.231, 0.769, 0.500)
H (0.769, 0.231, 0.500)
H (0.769, 0.769, 0.500)
Pd (0.000, 0.000, 0.500)

Below is a relaxed structure of LaTe2Os, with properties calculated at the PBE-GGA level.

## Properties
Symmetry: P4mm (99)
Relative energy among the computed polymorphs in meV per atom: 251

Cell lengths 3.340, 3.340, 9.591 Å; angles 90.00, 90.00, 90.00 degrees
Fractional coordinates of all 4 atoms:
La (0.000, 0.000, 0.000)
Te (0.000, 0.000, 0.375)
Te (0.500, 0.500, 0.746)
Os (0.500, 0.500, 0.227)

Below is a relaxed structure of Mg6TiBi, with properties calculated at the PBE-GGA level.

## Properties
Calculated formation energy in eV per atom: 0.0367
Symmetry: Amm2 (38)
Relative energy among the computed polymorphs in meV per atom: 0

Cell lengths 5.106, 6.379, 6.379 Å; angles 61.03, 90.00, 90.00 degrees
Fractional coordinates of all 8 atoms:
Mg (0.000, 0.000, 0.000)
Mg (0.000, 0.021, 0.494)
Mg (0.000, 0.494, 0.021)
Mg (0.500, 0.166, 0.166)
Mg (0.500, 0.176, 0.663)
Mg (0.500, 0.663, 0.176)
Ti (0.000, 0.504, 0.504)
Bi (0.500, 0.664, 0.664)

Below is a relaxed structure of Pm2Ho3Tm2, with properties calculated at the PBE-GGA level.

## Properties
Calculated formation energy in eV per atom: 0.0212
Symmetry: C2/m (12)
Relative energy among the computed polymorphs in meV per atom: 0

Cell lengths 6.128, 6.128, 10.653 Å; angles 95.42, 95.42, 33.69 degrees
Fractional coordinates of all 7 atoms:
Pm (0.215, 0.215, 0.355)
Pm (0.785, 0.785, 0.645)
Ho (0.358, 0.358, 0.930)
Ho (0.500, 0.500, 0.500)
Ho (0.642, 0.642, 0.070)
Tm (0.070, 0.070, 0.788)
Tm (0.930, 0.930, 0.212)

Below is a relaxed structure of Ac3Al5Cu6, with properties calculated at the PBE-GGA level.

## Properties
Calculated formation energy in eV per atom: -0.2543
Symmetry: Immm (71)

Cell lengths 8.420, 8.420, 8.420 Å; angles 148.89, 113.13, 75.58 degrees
Fractional coordinates of all 14 atoms:
Ac (0.000, 0.000, 0.000)
Ac (0.308, 0.308, 0.000)
Ac (0.692, 0.692, 0.000)
Al (0.011, 0.665, 0.347)
Al (0.318, 0.665, 0.653)
Al (0.500, 0.000, 0.500)
Al (0.682, 0.335, 0.347)
Al (0.989, 0.335, 0.653)
Cu (0.154, 0.873, 0.281)
Cu (0.296, 0.500, 0.796)
Cu (0.407, 0.127, 0.281)
Cu (0.593, 0.873, 0.719)
Cu (0.704, 0.500, 0.204)
Cu (0.846, 0.127, 0.719)

Below is a relaxed structure of TlTe8Pd4, with properties calculated at the PBE-GGA level.

## Properties
Symmetry: C2/m (12)

Cell lengths 8.111, 8.111, 8.800 Å; angles 117.57, 117.57, 59.98 degrees
Fractional coordinates of all 13 atoms:
Tl (0.000, 0.000, 0.000)
Te (0.228, 0.730, 0.686)
Te (0.229, 0.229, 0.686)
Te (0.270, 0.270, 0.314)
Te (0.270, 0.772, 0.314)
Te (0.730, 0.228, 0.686)
Te (0.730, 0.730, 0.686)
Te (0.771, 0.771, 0.314)
Te (0.772, 0.270, 0.314)
Pd (0.000, 0.000, 0.500)
Pd (0.000, 0.500, 0.500)
Pd (0.500, 0.000, 0.500)
Pd (0.500, 0.500, 0.500)

Below is a relaxed structure of Li2TbPd, with properties calculated at the PBE-GGA level.

## Properties
Calculated formation energy in eV per atom: 0.0539
Symmetry: R-3m (166)

Cell lengths 10.310, 10.310, 10.310 Å; angles 17.17, 17.17, 17.17 degrees
Fractional coordinates of all 4 atoms:
Li (0.103, 0.103, 0.103)
Li (0.897, 0.897, 0.897)
Tb (0.000, 0.000, 0.000)
Pd (0.500, 0.500, 0.500)

Below is a relaxed structure of SnSeCl2O, with properties calculated at the PBE-GGA level.

## Properties
Symmetry: P4/mmm (123)

Cell lengths 5.565, 5.565, 3.739 Å; angles 90.00, 90.00, 90.00 degrees
Fractional coordinates of all 5 atoms:
Sn (0.000, 0.000, 0.000)
Se (0.500, 0.500, 0.500)
Cl (0.000, 0.500, 0.500)
Cl (0.500, 0.000, 0.500)
O (0.500, 0.500, 0.000)

Below is a relaxed structure of CsNaMgCl4, with properties calculated at the PBE-GGA level.

## Properties
Symmetry: P2_1/m (11)

Cell lengths 7.048, 7.259, 9.350 Å; angles 90.00, 107.43, 90.00 degrees
Fractional coordinates of all 14 atoms:
Cs (0.241, 0.250, 0.443)
Cs (0.759, 0.750, 0.557)
Na (0.316, 0.250, 0.963)
Na (0.684, 0.750, 0.037)
Mg (0.256, 0.750, 0.170)
Mg (0.744, 0.250, 0.830)
Cl (0.017, 0.750, 0.936)
Cl (0.107, 0.750, 0.361)
Cl (0.490, 0.507, 0.201)
Cl (0.490, 0.993, 0.201)
Cl (0.510, 0.007, 0.799)
Cl (0.510, 0.493, 0.799)
Cl (0.893, 0.250, 0.639)
Cl (0.983, 0.250, 0.064)

Below is a relaxed structure of AlOs3, with properties calculated at the PBE-GGA level.

## Properties
Calculated formation energy in eV per atom: -0.0275
Symmetry: R-3m (166)

Cell lengths 8.857, 8.857, 8.857 Å; angles 17.87, 17.87, 17.87 degrees
Fractional coordinates of all 4 atoms:
Al (0.000, 0.000, 0.000)
Os (0.251, 0.251, 0.251)
Os (0.500, 0.500, 0.500)
Os (0.749, 0.749, 0.749)

Number 1: total energy -6.0874 eV/atom. Number 2: total energy -5.4623 eV/atom. Number 3: total energy -3.2902 eV/atom. Number 4: total energy -5.7924 eV/atom. Number 5: total energy -2.6313 eV/atom. Number 6: total energy -4.5756 eV/atom. Number 7: total energy -4.2268 eV/atom. Number 8: total energy -3.9628 eV/atom. Number 9: total energy -3.3587 eV/atom. Number 10: total energy -3.4069 eV/atom. Number 11: total energy -3.4626 eV/atom. Number 12: total energy -9.3854 eV/atom.